(1)
Computed, not measured: crystalline TaNb5Mo6 at its relaxed geometry at the PBE level of DFT.

```
TaNb5Mo6
1.0
4.397 0.018 -1.284
-0.885 5.669 -2.952
-0.084 0.429 7.900
Nb Mo Ta
5 6 1
Cartesian
2.754 1.096 1.279 Nb
1.114 2.181 3.853 Nb
-0.443 2.834 -1.476 Nb
2.314 3.935 -0.189 Nb
0.674 5.020 2.385 Nb
3.092 3.607 2.474 Mo
3.535 0.773 3.950 Mo
1.535 4.260 -2.856 Mo
1.893 1.856 6.520 Mo
-0.106 5.343 -0.286 Mo
0.336 2.509 1.190 Mo
0.000 0.000 0.000 Ta
```

**Magnetization**: 0.00 μB/f.u.
**Space-group type**: No. 71
**Crystal system**: orthorhombic
**E_form**: -1.80 eV per formula unit



(2)
Computed, not measured: crystalline Al3SF7 at its relaxed geometry at the PBE level of DFT.

```
Al3SF7
1.0
-0.938 4.160 3.573
-5.167 1.187 -2.739
0.149 -3.868 4.542
Al S F
3 1 7
Cartesian
-3.215 1.878 3.721 Al
-3.142 0.000 5.927 Al
-0.706 1.301 5.051 Al
-2.092 -0.104 3.900 S
-1.750 1.057 6.577 F
-1.815 2.734 4.608 F
-4.315 3.580 3.190 F
-4.779 2.925 0.924 F
-2.507 2.403 2.128 F
-4.713 1.225 2.921 F
-3.990 1.572 5.389 F
```

**Magnetization**: 0.00 μB/f.u.
**Space-group type**: No. 156
**Crystal system**: trigonal



(3)
Computed, not measured: crystalline La2MgRuO at its relaxed geometry at the PBE level of DFT.

```
La2MgRuO
1.0
-1.411 0.598 -4.792
-4.775 -0.919 1.292
-0.589 4.008 0.673
Ru Mg O La
1 1 1 2
Cartesian
-3.388 1.843 -1.413 Ru
-0.295 2.004 0.337 Mg
0.000 0.000 0.000 O
-2.387 -0.459 0.646 La
-0.706 0.299 -2.396 La
```

**Magnetization**: 0.00 μB/f.u.
**Space-group type**: No. 123
**Crystal system**: tetragonal



(4)
Computed, not measured: crystalline LaGaPbC2 at its relaxed geometry at the PBE level of DFT.

```
LaGaPbC2
1.0
4.355 0.000 0.000
0.000 5.557 0.000
0.000 0.000 4.355
Pb C Ga La
1 2 1 1
Cartesian
2.177 2.778 2.177 Pb
0.000 0.000 2.177 C
2.177 0.000 0.000 C
0.000 0.000 0.000 Ga
0.000 2.778 0.000 La
```

**Magnetization**: 0.00 μB/f.u.
**Space-group type**: No. 123
**Crystal system**: tetragonal
**E_form**: 8.50 eV per formula unit



Result set for DFT total energy: -10.7490, -5.6134, -6.2210, -4.3215 eV/atom, one per record in the order listed.